Entry from the Alexandria database: AlMoPb2 after structural relaxation (PBE).

ΔH_f (0 K): 272 kJ/mol of formula units
ρ: 10.00 g/cm3
DOS(E_F): 0.881 states/eV per atom

Geometry as CIF:
```
data_AlMoPb2
_space_group_name_H-M_alt 'I -4 m 2'
_space_group_IT_number 119
_space_group_name_Hall 'I -4 -2'
_cell_length_a 4.397
_cell_length_b 4.397
_cell_length_c 9.232
_cell_angle_alpha 90.00
_cell_angle_beta 90.00
_cell_angle_gamma 90.00
loop_
_atom_site_label
_atom_site_type_symbol
_atom_site_fract_x
_atom_site_fract_y
_atom_site_fract_z
_atom_site_occupancy
Al1 Al 0.000 0.000 0.000 1
Mo1 Mo 0.000 0.500 0.750 1
Pb1 Pb 0.000 0.000 0.500 1
Pb2 Pb 0.000 0.500 0.250 1
```